A plane-wave DFT calculation with SCAN was carried out for a crystal of CuPt4 relaxed with PBEsol.

Geometry as CIF:
```
data_CuPt4
_chemical_formula_sum 'Cu2 Pt8'
_cell_length_a 6.0920
_cell_length_b 6.0920
_cell_length_c 3.8702
_cell_angle_alpha 90.00
_cell_angle_beta 90.00
_cell_angle_gamma 90.00
_space_group_name_H-M_alt 'I 4/m'
_space_group_IT_number 87
_space_group_name_Hall '-I 4'
loop_
_atom_site_label
_atom_site_fract_x
_atom_site_fract_y
_atom_site_fract_z
Cu1 0.0000 0.0000 0.0000
Pt1 0.1048 0.2990 0.5000
```

Computed properties:
**ΔE_f**: -0.07 eV per atom
**Total magnetic moment**: 0.00 μB per formula unit